1.
ZnCrOs2 | PBE | optimized geometry

```
4
Lattice="-1.5425 2.2274 0.5006 -1.2101 -1.3100 2.1003 5.2626 2.5987 4.6529" Properties=species:S:1:pos:R:3 pbc="T T T"
Cr 2.6037 2.4241 4.8194
Os 0.0131 0.0065 0.0116
Os -0.1070 1.0855 2.4227
Zn 2.6313 1.2994 2.3265
```

Computed properties:
- magnetization (μB/cell) = 2.52
- calculated total energy (eV per cell) = -32.5
- mass density (g cm⁻³) = 14.54
- calculated formation energy (eV/atom) = 0.2082

---

2.
Li2ZnAu6 | PBE | optimized geometry

```
18
Lattice="4.1964 0.0000 -0.0003 0.0000 8.4217 0.0000 0.0005 0.0000 8.4215" Properties=species:S:1:pos:R:3 pbc="T T T"
Li 0.0007 2.6292 6.8402
Li 2.0982 6.8400 5.7920
Li 2.0986 1.5817 2.6292
Li 4.1962 5.7925 1.5810
Zn 2.0982 4.2108 -0.0002
Zn 0.0002 0.0000 4.2108
Au 4.1964 0.1138 1.4750
Au 4.1964 5.6863 4.3240
Au 4.1966 5.3987 7.2331
Au 2.0986 1.1878 5.3987
Au 2.0988 1.4754 8.3078
Au 2.0984 4.3247 2.7353
Au 0.0004 8.3079 6.9462
Au 0.0004 2.7354 4.0972
Au 0.0002 3.0230 1.1881
Au 2.0982 7.2339 3.0225
Au 2.0980 6.9463 0.1134
Au 2.0985 4.0970 5.6859
```

Computed properties:
- E above lowest polymorph (meV/atom) = 0.0
- magnetization (μB/cell) = 0.00
- calculated total energy (eV per cell) = -55.7
- mass density (g cm⁻³) = 14.07
- calculated formation energy (eV/atom) = -0.3436

---

3.
CdAsRu2 | PBE | optimized geometry

```
4
Lattice="-1.8215 2.1256 0.0293 0.1311 -1.6848 2.2319 7.2938 6.1919 4.2457" Properties=species:S:1:pos:R:3 pbc="T T T"
Ru 0.2233 0.1896 0.1300
Ru 0.9027 1.7043 2.1481
As 3.2251 2.7378 1.8773
Cd 4.8991 5.0969 4.4744
```

Computed properties:
- E above lowest polymorph (meV/atom) = 327.8
- magnetization (μB/cell) = 1.03
- calculated total energy (eV per cell) = -22.5
- mass density (g cm⁻³) = 8.98
- calculated formation energy (eV/atom) = 0.3969

---

4.
Ba4La2Ti3Nb2O18 | PBE | optimized geometry

```
29
Lattice="14.3986 -0.0105 -0.0062 13.2637 5.6029 -0.0062 13.2637 2.6815 4.9196" Properties=species:S:1:pos:R:3 pbc="T T T"
Nb 2.1918 0.4431 0.2628
Nb 38.7342 7.8308 4.6443
Ti 9.0829 1.8363 1.0891
Ti 20.4630 4.1370 2.4536
Ti 31.8431 6.4377 3.8181
Ba 5.7183 1.1561 0.6856
Ba 12.7622 2.5801 1.5302
Ba 28.1637 5.6938 3.3769
Ba 35.2077 7.1179 4.2215
O 9.9433 2.0102 2.8310
O 10.5019 0.6852 0.4064
O 9.9433 3.4482 0.4064
O 15.3811 1.6939 1.0046
O 14.8312 2.9984 3.3916
O 14.8312 4.4141 1.0046
O 19.4925 2.5126 3.1177
O 18.9377 5.2567 3.1177
O 19.4925 3.9408 0.7097
O 21.9883 3.0172 1.7895
O 21.4335 4.3332 4.1974
O 21.4335 5.7613 1.7895
O 26.0948 3.8598 3.9025
O 25.5449 6.5801 3.9025
O 26.0948 5.2755 1.5155
O 30.9827 4.8257 4.5008
O 30.9827 6.2637 2.0762
O 30.4241 7.5888 4.5008
La 16.9627 3.4293 2.0339
La 23.9633 4.8446 2.8733
```

Computed properties:
- magnetization (μB/cell) = 0.00
- formation energy (no corrections) (eV/atom) = -3.034
- calculated total energy (eV per cell) = -238.6
- mass density (g cm⁻³) = 6.03

---

Question: The highest calculated total energy belongs to which entry?
Answer: CdAsRu2

---

Question: Which value of calculated total energy does entry 2 give?
Answer: -55.7 eV per cell